(1)
{
  "formula": "Ga2AuN",
  "functional": "PBE",
  "state": "relaxed",
  "lattice_angstrom": [[-2.844, 2.844, 3.988], [2.844, -2.844, 3.988], [2.844, 2.844, -3.988]],
  "species": ["Ga", "Ga", "Ga", "Ga", "Au", "Au", "N", "N"],
  "fractional_positions": [[0.042, 0.625, 0.917], [0.375, 0.292, 0.417], [0.708, 0.125, 0.083], [0.875, 0.958, 0.583], [0.250, 0.750, 0.500], [0.500, 0.500, 0.000], [0.000, 0.000, 0.000], [0.750, 0.250, 0.500]],
  "dft_energy_ev_per_cell": -36.3,
  "formation_energy_uncorrected_ev_per_atom": -0.117
}

(2)
{
  "formula": "InFe2Pb",
  "functional": "PBE",
  "state": "relaxed",
  "lattice_angstrom": [[1.585, 0.915, 9.105], [-1.585, 0.915, 9.105], [0.000, -1.831, 9.105]],
  "species": ["In", "Fe", "Fe", "Pb"],
  "fractional_positions": [[0.000, 0.000, 0.000], [0.255, 0.255, 0.255], [0.531, 0.531, 0.531], [0.778, 0.778, 0.778]],
  "dft_energy_ev_per_cell": -21.7,
  "ef_ev_per_atom": 0.42
}

(3)
{
  "formula": "LiTl3S",
  "functional": "PBE",
  "state": "relaxed",
  "lattice_angstrom": [[5.137, 0.000, 0.000], [0.000, 5.137, 0.000], [0.000, 0.000, 5.137]],
  "species": ["Li", "Tl", "Tl", "Tl", "S"],
  "fractional_positions": [[0.000, 0.000, 0.000], [0.000, 0.000, 0.500], [0.000, 0.500, 0.000], [0.500, 0.000, 0.000], [0.500, 0.500, 0.500]],
  "dft_energy_ev_per_cell": -12.7,
  "formation_energy_uncorrected_ev_per_atom": 0.090
}